# 1
Density functional theory data (PBE-GGA) for crystalline Ta2BeCl at its relaxed geometry.

The structure in POSCAR format:
```
Ta2BeCl
1.0
-1.753 -1.829 1.513
-0.740 -1.365 -2.508
5.278 -4.377 0.824
Be Cl Ta
1 1 2
Direct
0.500 0.500 0.250
0.500 0.500 0.750
0.000 0.000 0.034
0.000 0.000 0.466
```

Computed properties:
formation energy without anion corrections = 0.2577 eV per atom
energy above the most stable polymorph in this dataset = 0.157 eV per atom

***

# 2
Density functional theory data (PBE-GGA) for crystalline Rb2CuIBr6 at its relaxed geometry.

The structure in POSCAR format:
```
Rb2CuIBr6
1.0
8.068 0.000 0.000
0.000 8.068 0.000
4.034 4.034 5.801
I Cu Br Rb
1 1 6 2
Direct
0.000 0.000 0.000
0.500 0.500 0.000
0.233 0.233 0.534
0.767 0.767 0.466
0.291 0.291 0.000
0.709 0.709 0.000
0.709 0.291 0.000
0.291 0.709 0.000
0.750 0.250 0.500
0.250 0.750 0.500
```

Computed properties:
formation energy without anion corrections = -0.7968 eV per atom

***

# 3
Density functional theory data (PBE-GGA) for crystalline K2NpSe2I2 at its relaxed geometry.

The structure in POSCAR format:
```
K2NpSe2I2
1.0
-5.060 -0.110 2.138
-0.873 -4.904 -2.318
6.183 -1.565 7.493
K Np Se I
2 1 2 2
Direct
0.374 0.374 0.747
0.626 0.626 0.253
0.000 0.000 0.000
0.000 0.500 0.000
0.500 0.000 0.000
0.172 0.172 0.344
0.828 0.828 0.656
```

Computed properties:
formation energy without anion corrections = -1.2194 eV per atom

***

One value per record, in order, for VASP energy: -7.06; -2.56; -4.82 eV/atom.